Computed, not measured: a geometry-optimized Cu2SeO5 structure at the GGA-PBE level of DFT.

```
data_Cu2SeO5
_chemical_formula_sum 'Cu8 Se4 O20'
_cell_length_a 9.009
_cell_length_b 7.502
_cell_length_c 7.308
_cell_angle_alpha 90.00
_cell_angle_beta 126.68
_cell_angle_gamma 90.00
_space_group_name_H-M_alt 'C 1 2/c 1'
_space_group_IT_number 15
loop_
_space_group_symop_operation_xyz
'x,y,z'
'-x,-y,-z'
'-x,y,-z+1/2'
'x,-y,z+1/2'
'x+1/2,y+1/2,z'
'-x+1/2,-y+1/2,-z'
'-x+1/2,y+1/2,-z+1/2'
'x+1/2,-y+1/2,z+1/2'
loop_
_atom_site_label
_atom_site_fract_x
_atom_site_fract_y
_atom_site_fract_z
Cu1 0.000 0.000 0.000
Cu2 0.250 0.250 0.000
Se1 0.000 0.365 0.250
O1 0.000 0.125 0.750
O2 0.075 0.234 0.130
O3 0.186 0.489 0.437
```

## Properties
As for the energy: -161.3 eV/cell. The calculation puts the density of states at the Fermi level at 0.43 states/eV/atom. The calculation puts the uncorrected formation energy at -0.48 eV/atom.

=====

Computed, not measured: a geometry-optimized Cu2Se2O7 structure at the GGA-PBE level of DFT.

```
data_Cu2Se2O7
_chemical_formula_sum 'Cu4 Se4 O14'
_cell_length_a 8.968
_cell_length_b 8.244
_cell_length_c 5.406
_cell_angle_alpha 90.00
_cell_angle_beta 122.48
_cell_angle_gamma 90.00
_space_group_name_H-M_alt 'C 1 2/m 1'
_space_group_IT_number 12
loop_
_space_group_symop_operation_xyz
'x,y,z'
'-x,-y,-z'
'-x,y,-z'
'x,-y,z'
'x+1/2,y+1/2,z'
'-x+1/2,-y+1/2,-z'
'-x+1/2,y+1/2,-z'
'x+1/2,-y+1/2,z'
loop_
_atom_site_label
_atom_site_fract_x
_atom_site_fract_y
_atom_site_fract_z
Cu1 0.000 0.185 0.000
Se1 0.179 0.500 0.400
O1 0.000 0.500 0.500
O2 0.105 0.000 0.275
O3 0.193 0.336 0.216
```

## Properties
As for the energy: -110.4 eV/cell. The calculation puts the density of states at the Fermi level at 0.41 states/eV/atom. The calculation puts the uncorrected formation energy at -0.49 eV/atom.

=====

Computed, not measured: a geometry-optimized CuSeO3 structure at the GGA-PBE level of DFT.

```
data_CuSeO3
_chemical_formula_sum 'Cu6 Se6 O18'
_cell_length_a 4.816
_cell_length_b 9.096
_cell_length_c 10.733
_cell_angle_alpha 113.45
_cell_angle_beta 91.17
_cell_angle_gamma 90.77
_space_group_name_H-M_alt 'P -1'
_space_group_IT_number 2
loop_
_space_group_symop_operation_xyz
'x,y,z'
'-x,-y,-z'
loop_
_atom_site_label
_atom_site_fract_x
_atom_site_fract_y
_atom_site_fract_z
Cu1 0.000 0.000 0.000
Cu2 0.000 0.000 0.500
Cu3 0.034 0.645 0.166
Cu4 0.475 0.980 0.244
Se1 0.017 0.767 0.671
Se2 0.422 0.305 0.621
Se3 0.446 0.276 0.022
O1 0.059 0.192 0.162
O2 0.122 0.063 0.349
O3 0.200 0.398 0.001
O4 0.227 0.687 0.340
O5 0.281 0.440 0.769
O6 0.294 0.082 0.923
O7 0.311 0.120 0.623
O8 0.318 0.769 0.115
O9 0.366 0.804 0.670
```

## Properties
As for the energy: -154.8 eV/cell. The calculation puts the density of states at the Fermi level at 0.18 states/eV/atom. The calculation puts the uncorrected formation energy at -0.67 eV/atom.